No. 1
Below is a relaxed structure of Zr2BiSb, with properties calculated at the GGA-PBE level.

Computed properties:
Formation energy from raw total energies in eV/atom: 0.284

CIF file:
```
data_Zr2BiSb
_chemical_formula_sum 'Zr4 Bi2 Sb2'
_cell_length_a 6.622
_cell_length_b 6.622
_cell_length_c 8.092
_cell_angle_alpha 65.85
_cell_angle_beta 65.85
_cell_angle_gamma 90.00
_space_group_name_H-M_alt 'P 1'
_space_group_IT_number 1
loop_
_space_group_symop_operation_xyz
'x,y,z'
loop_
_atom_site_label
_atom_site_type_symbol
_atom_site_fract_x
_atom_site_fract_y
_atom_site_fract_z
_atom_site_occupancy
Sb1 Sb 0.500 0.500 0.000 1
Sb2 Sb 0.250 0.750 0.500 1
Bi1 Bi 0.000 0.000 0.000 1
Bi2 Bi 0.750 0.250 0.500 1
Zr1 Zr 0.616 0.125 0.250 1
Zr2 Zr 0.134 0.625 0.250 1
Zr3 Zr 0.375 0.384 0.750 1
Zr4 Zr 0.875 0.866 0.750 1
```

***

No. 2
Below is a relaxed structure of PrNd2Hf, with properties calculated at the GGA-PBE level.

Computed properties:
Energy above the most stable polymorph in this dataset in meV/atom: 0
Energy of formation from the pure elements in eV per atom: 0.195

CIF file:
```
data_PrNd2Hf
_chemical_formula_sum 'Pr1 Nd2 Hf1'
_cell_length_a 5.004
_cell_length_b 4.991
_cell_length_c 4.991
_cell_angle_alpha 90.00
_cell_angle_beta 90.00
_cell_angle_gamma 90.00
_space_group_name_H-M_alt 'P 1'
_space_group_IT_number 1
loop_
_space_group_symop_operation_xyz
'x,y,z'
loop_
_atom_site_label
_atom_site_type_symbol
_atom_site_fract_x
_atom_site_fract_y
_atom_site_fract_z
_atom_site_occupancy
Pr1 Pr 0.500 0.000 0.000 1
Nd1 Nd 0.000 0.000 0.500 1
Nd2 Nd 0.000 0.500 0.000 1
Hf1 Hf 0.500 0.500 0.500 1
```

***

No. 3
Below is a relaxed structure of Ac4ZnIr, with properties calculated at the GGA-PBE level.

Computed properties:
Energy above the most stable polymorph in this dataset in meV/atom: 0
Energy of formation from the pure elements in eV per atom: -0.322

CIF file:
```
data_Ac4ZnIr
_chemical_formula_sum 'Ac8 Zn2 Ir2'
_cell_length_a 6.850
_cell_length_b 7.587
_cell_length_c 8.617
_cell_angle_alpha 90.00
_cell_angle_beta 108.79
_cell_angle_gamma 90.00
_space_group_name_H-M_alt 'P 1'
_space_group_IT_number 1
loop_
_space_group_symop_operation_xyz
'x,y,z'
loop_
_atom_site_label
_atom_site_type_symbol
_atom_site_fract_x
_atom_site_fract_y
_atom_site_fract_z
_atom_site_occupancy
Ac1 Ac 0.551 0.250 0.403 1
Ac2 Ac 0.449 0.750 0.597 1
Ac3 Ac 0.559 0.250 0.875 1
Ac4 Ac 0.441 0.750 0.125 1
Ac5 Ac 0.991 0.002 0.270 1
Ac6 Ac 0.009 0.502 0.730 1
Ac7 Ac 0.991 0.498 0.270 1
Ac8 Ac 0.009 0.998 0.730 1
Zn1 Zn 0.203 0.250 0.051 1
Zn2 Zn 0.797 0.750 0.949 1
Ir1 Ir 0.215 0.250 0.553 1
Ir2 Ir 0.785 0.750 0.447 1
```

***

No. 4
Below is a relaxed structure of La5TbDy2Ho, with properties calculated at the GGA-PBE level.

Computed properties:
Energy of formation from the pure elements in eV per atom: 0.299

CIF file:
```
data_La5TbDy2Ho
_chemical_formula_sum 'La10 Tb2 Dy4 Ho2'
_cell_length_a 9.469
_cell_length_b 9.469
_cell_length_c 9.801
_cell_angle_alpha 118.89
_cell_angle_beta 118.89
_cell_angle_gamma 90.00
_space_group_name_H-M_alt 'P 1'
_space_group_IT_number 1
loop_
_space_group_symop_operation_xyz
'x,y,z'
loop_
_atom_site_label
_atom_site_type_symbol
_atom_site_fract_x
_atom_site_fract_y
_atom_site_fract_z
_atom_site_occupancy
La1 La 0.934 0.434 0.269 1
La2 La 0.664 0.164 0.731 1
La3 La 0.066 0.566 0.731 1
La4 La 0.164 0.066 0.731 1
La5 La 0.566 0.664 0.731 1
La6 La 0.836 0.934 0.269 1
La7 La 0.434 0.336 0.269 1
La8 La 0.336 0.836 0.269 1
La9 La 0.500 0.500 0.000 1
La10 La 0.000 0.000 0.000 1
Tb1 Tb 0.250 0.250 0.500 1
Tb2 Tb 0.750 0.750 0.500 1
Dy1 Dy 0.109 0.391 0.000 1
Dy2 Dy 0.609 0.109 0.000 1
Dy3 Dy 0.391 0.891 0.000 1
Dy4 Dy 0.891 0.609 0.000 1
Ho1 Ho 0.250 0.750 0.500 1
Ho2 Ho 0.750 0.250 0.500 1
```

***

No. 5
Below is a relaxed structure of Be2ReMo, with properties calculated at the GGA-PBE level.

Computed properties:
Energy above the most stable polymorph in this dataset in meV/atom: 287
Energy of formation from the pure elements in eV per atom: 0.046

CIF file:
```
data_Be2ReMo
_chemical_formula_sum 'Be2 Re1 Mo1'
_cell_length_a 4.676
_cell_length_b 4.676
_cell_length_c 4.306
_cell_angle_alpha 73.00
_cell_angle_beta 73.00
_cell_angle_gamma 32.11
_space_group_name_H-M_alt 'P 1'
_space_group_IT_number 1
loop_
_space_group_symop_operation_xyz
'x,y,z'
loop_
_atom_site_label
_atom_site_type_symbol
_atom_site_fract_x
_atom_site_fract_y
_atom_site_fract_z
_atom_site_occupancy
Re1 Re 0.276 0.276 0.190 1
Mo1 Mo 0.477 0.477 0.556 1
Be1 Be 0.026 0.026 0.025 1
Be2 Be 0.721 0.721 0.729 1
```

***

No. 6
Below is a relaxed structure of Pm2LuNi, with properties calculated at the GGA-PBE level.

Computed properties:
Energy above the most stable polymorph in this dataset in meV/atom: 220
Energy of formation from the pure elements in eV per atom: 0.145

CIF file:
```
data_Pm2LuNi
_chemical_formula_sum 'Pm2 Lu1 Ni1'
_cell_length_a 3.626
_cell_length_b 3.626
_cell_length_c 10.587
_cell_angle_alpha 80.14
_cell_angle_beta 80.14
_cell_angle_gamma 60.00
_space_group_name_H-M_alt 'P 1'
_space_group_IT_number 1
loop_
_space_group_symop_operation_xyz
'x,y,z'
loop_
_atom_site_label
_atom_site_type_symbol
_atom_site_fract_x
_atom_site_fract_y
_atom_site_fract_z
_atom_site_occupancy
Ni1 Ni 0.500 0.500 0.500 1
Lu1 Lu 0.000 0.000 0.000 1
Pm1 Pm 0.109 0.109 0.672 1
Pm2 Pm 0.891 0.891 0.328 1
```